# GaCl3 PBE-GGA relaxed
data_GaCl3
_cell_length_a 4.9255
_cell_length_b 4.9255
_cell_length_c 4.9255
_cell_angle_alpha 60.00
_cell_angle_beta 60.00
_cell_angle_gamma 60.00
_space_group_name_H-M_alt 'P 1'
_space_group_IT_number 1
loop_
_space_group_symop_operation_xyz
'x,y,z'
loop_
_atom_site_label
_atom_site_type_symbol
_atom_site_fract_x
_atom_site_fract_y
_atom_site_fract_z
Ga1 Ga 0.5000 0.5000 0.5000
Cl1 Cl 0.2500 0.2500 0.2500
Cl2 Cl 0.7500 0.7500 0.7500
Cl3 Cl 0.0000 0.0000 0.0000
# - E (eV/cell) = -8.38
# - E_form (uncorrected) (meV/atom) = 46